Entry 1:
Entry from Alexandria via LeMat-Bulk: an optimized crystal structure of Er2ThTl2Zn2 (PBE).

uncorrected energy = -0.127 Ha/atom
ρ = 10.34 Mg/m³
symmetry = No. 166
DOS(E_F) = 6.02 states/eV per cell
formation energy from the elements = -64 meV per atom

POSCAR file:
```
Er2ThTl2Zn2
1.0
4.811 0.000 0.000
2.405 4.166 0.000
2.405 1.389 8.862
Tl Er Th Zn
2 2 1 2
direct
0.265 0.265 0.204
0.735 0.735 0.796
0.131 0.131 0.607
0.869 0.869 0.393
0.000 0.000 0.000
0.576 0.576 0.272
0.424 0.424 0.728
```

***

Entry 2:
Entry from Alexandria via LeMat-Bulk: an optimized crystal structure of Er2Tm4Th3 (PBE).

uncorrected energy = -0.198 Ha/atom
ρ = 10.02 Mg/m³
symmetry = No. 156
DOS(E_F) = 17.97 states/eV per cell
formation energy from the elements = 81 meV per atom

POSCAR file:
```
Er2Tm4Th3
1.0
3.532 0.000 0.000
-1.766 3.059 0.000
0.000 0.000 26.157
Er Tm Th
2 4 3
direct
0.667 0.333 0.870
0.667 0.333 0.091
0.667 0.333 0.436
0.667 0.333 0.216
0.000 0.000 0.763
0.000 0.000 0.542
0.667 0.333 0.653
0.000 0.000 0.323
0.000 0.000 0.983
```

***

Entry 3:
Entry from Alexandria via LeMat-Bulk: an optimized crystal structure of Er12TmTh7 (PBE).

uncorrected energy = -0.194 Ha/atom
ρ = 9.77 Mg/m³
symmetry = No. 148
DOS(E_F) = 34.14 states/eV per cell
formation energy from the elements = 271 meV per atom

POSCAR file:
```
Er12TmTh7
1.0
8.364 1.244 1.867
-1.131 8.380 1.867
-1.131 -1.505 8.453
Er Th Tm
12 7 1
direct
0.379 0.866 0.503
0.134 0.497 0.621
0.725 0.859 0.256
0.497 0.621 0.134
0.256 0.725 0.859
0.866 0.503 0.379
0.141 0.744 0.275
0.859 0.256 0.725
0.621 0.134 0.497
0.744 0.275 0.141
0.275 0.141 0.744
0.503 0.379 0.866
0.500 0.500 0.500
0.081 0.154 0.394
0.154 0.394 0.081
0.846 0.606 0.919
0.919 0.846 0.606
0.394 0.081 0.154
0.606 0.919 0.846
0.000 0.000 0.000
```

***

Entry 4:
Entry from Alexandria via LeMat-Bulk: an optimized crystal structure of Er3Tm5Th3 (PBE).

uncorrected energy = -0.180 Ha/atom
ρ = 9.40 Mg/m³
energy above the most stable polymorph in this dataset = 2.3 kJ per mole of atoms
symmetry = No. 189
DOS(E_F) = 21.22 states/eV per cell
formation energy from the elements = 415 meV per atom

POSCAR file:
```
Er3Tm5Th3
1.0
3.406 0.000 0.000
0.000 9.578 -5.530
0.000 0.000 11.060
Th Tm Er
3 5 3
direct
0.000 0.405 0.405
0.000 0.000 0.595
0.000 0.595 0.000
0.500 0.333 0.667
0.500 0.660 0.660
0.500 0.667 0.333
0.500 0.000 0.340
0.500 0.340 0.000
0.500 0.000 0.840
0.500 0.840 0.000
0.500 0.160 0.160
```

***

Entry 5:
Entry from Alexandria via LeMat-Bulk: an optimized crystal structure of Er4Tm15Th (PBE).

uncorrected energy = -0.169 Ha/atom
ρ = 9.43 Mg/m³
symmetry = No. 123
DOS(E_F) = 29.36 states/eV per cell
formation energy from the elements = 29 meV per atom

POSCAR file:
```
Er4Tm15Th
1.0
-0.332 4.297 -2.438
-2.462 1.975 3.815
21.337 7.313 9.987
Tm Er Th
15 4 1
direct
0.000 0.500 0.100
0.500 0.000 0.900
0.000 0.500 0.500
0.500 0.000 0.100
0.500 0.000 0.700
0.500 0.500 0.000
0.500 0.000 0.300
0.500 0.500 0.400
0.000 0.500 0.900
0.500 0.500 0.600
0.500 0.000 0.500
0.500 0.500 0.799
0.500 0.500 0.201
0.000 0.500 0.300
0.000 0.500 0.700
0.000 0.000 0.800
0.000 0.000 0.600
0.000 0.000 0.200
0.000 0.000 0.400
0.000 0.000 0.000
```

***

Entry 6:
Entry from Alexandria via LeMat-Bulk: an optimized crystal structure of Er8TmTh2 (PBE).

uncorrected energy = -0.180 Ha/atom
ρ = 9.34 Mg/m³
energy above the most stable polymorph in this dataset = 0.0 kJ per mole of atoms
symmetry = No. 12
DOS(E_F) = 15.39 states/eV per cell
formation energy from the elements = 188 meV per atom

POSCAR file:
```
Er8TmTh2
1.0
-4.929 -0.900 -4.258
-2.766 -4.270 4.104
-1.697 8.403 2.393
Er Th Tm
8 2 1
direct
0.598 0.174 0.828
0.096 0.410 0.820
0.904 0.590 0.180
0.402 0.346 0.172
0.184 0.802 0.604
0.402 0.826 0.172
0.598 0.654 0.828
0.816 0.198 0.396
0.335 0.248 0.495
0.665 0.752 0.505
0.000 0.000 0.000
```

***

Entry 7:
Entry from Alexandria via LeMat-Bulk: an optimized crystal structure of ErTm3Th (PBE).

uncorrected energy = -0.181 Ha/atom
ρ = 9.64 Mg/m³
energy above the most stable polymorph in this dataset = 0.0 kJ per mole of atoms
symmetry = No. 15
DOS(E_F) = 27.59 states/eV per cell
formation energy from the elements = 147 meV per atom

POSCAR file:
```
ErTm3Th
1.0
9.422 -2.362 -2.279
0.521 8.193 -2.180
0.521 -1.886 8.266
Tm Th Er
12 4 4
direct
0.883 0.508 0.307
0.051 0.737 0.113
0.177 0.026 0.576
0.449 0.887 0.263
0.117 0.492 0.693
0.551 0.113 0.737
0.949 0.263 0.887
0.323 0.424 0.974
0.383 0.307 0.508
0.823 0.974 0.424
0.677 0.576 0.026
0.617 0.693 0.492
0.456 0.727 0.818
0.044 0.182 0.273
0.956 0.818 0.727
0.544 0.273 0.182
0.250 0.010 0.990
0.250 0.599 0.401
0.750 0.401 0.599
0.750 0.990 0.010
```

***

Entry 8:
Entry from Alexandria via LeMat-Bulk: an optimized crystal structure of Er3Tm4Th (PBE).

uncorrected energy = -0.173 Ha/atom
ρ = 9.35 Mg/m³
energy above the most stable polymorph in this dataset = 15.7 kJ per mole of atoms
symmetry = No. 12
DOS(E_F) = 13.73 states/eV per cell
formation energy from the elements = 175 meV per atom

POSCAR file:
```
Er3Tm4Th
1.0
3.388 0.000 -0.428
-0.174 6.449 -1.383
-0.247 -0.887 11.683
Er Th Tm
3 1 4
direct
0.125 0.883 0.250
0.000 0.500 0.000
0.875 0.117 0.750
0.500 0.000 0.000
0.259 0.756 0.519
0.125 0.366 0.249
0.875 0.634 0.751
0.741 0.244 0.481
```

***

Entry 9:
Entry from Alexandria via LeMat-Bulk: an optimized crystal structure of Er3Tm5Th (PBE).

uncorrected energy = -0.165 Ha/atom
ρ = 9.31 Mg/m³
symmetry = No. 140
DOS(E_F) = 22.85 states/eV per cell
formation energy from the elements = 331 meV per atom

POSCAR file:
```
Er3Tm5Th
1.0
-4.199 -3.056 -7.114
-4.471 -5.651 5.066
-0.874 9.318 1.966
Er Tm Th
6 10 2
direct
0.250 0.250 0.500
0.612 0.112 0.000
0.112 0.388 0.000
0.750 0.750 0.500
0.388 0.888 0.000
0.888 0.612 0.000
0.926 0.426 0.265
0.426 0.339 0.265
0.839 0.926 0.265
0.661 0.161 0.735
0.161 0.074 0.735
0.339 0.839 0.265
0.000 0.000 0.000
0.574 0.661 0.735
0.074 0.574 0.735
0.500 0.500 0.000
0.250 0.750 0.500
0.750 0.250 0.500
```

***

Entry 10:
Entry from Alexandria via LeMat-Bulk: an optimized crystal structure of Er5Tm4Th2 (PBE).

uncorrected energy = -0.184 Ha/atom
ρ = 9.66 Mg/m³
energy above the most stable polymorph in this dataset = 0.0 kJ per mole of atoms
symmetry = No. 2
DOS(E_F) = 16.63 states/eV per cell
formation energy from the elements = 53 meV per atom

POSCAR file:
```
Er5Tm4Th2
1.0
3.483 0.089 -0.324
-0.250 11.061 -1.017
0.728 0.644 8.682
Tm Th Er
4 2 5
direct
0.253 0.204 0.732
0.747 0.796 0.268
0.791 0.262 0.083
0.209 0.738 0.917
0.249 0.639 0.545
0.751 0.361 0.455
0.256 0.521 0.181
0.769 0.914 0.643
0.231 0.086 0.357
0.500 0.000 0.000
0.744 0.479 0.819
```

***

Entry 11:
Entry from Alexandria via LeMat-Bulk: an optimized crystal structure of Er6Tm3Th (PBE).

uncorrected energy = -0.166 Ha/atom
ρ = 9.11 Mg/m³
energy above the most stable polymorph in this dataset = 14.9 kJ per mole of atoms
symmetry = No. 155
DOS(E_F) = 18.32 states/eV per cell
formation energy from the elements = 301 meV per atom

POSCAR file:
```
Er6Tm3Th
1.0
8.547 0.000 4.536
3.070 7.977 4.536
2.125 1.459 6.317
Er Tm Th
6 3 1
direct
0.063 0.400 0.800
0.564 0.236 0.300
0.900 0.564 0.300
0.400 0.737 0.800
0.236 0.900 0.300
0.737 0.063 0.800
0.400 0.400 0.801
0.642 0.642 0.074
0.158 0.158 0.527
0.900 0.900 0.300
```

***

Entry 12:
Entry from Alexandria via LeMat-Bulk: an optimized crystal structure of Er7Tm2Th2 (PBE).

uncorrected energy = -0.180 Ha/atom
ρ = 9.45 Mg/m³
energy above the most stable polymorph in this dataset = 0.0 kJ per mole of atoms
symmetry = No. 12
DOS(E_F) = 17.06 states/eV per cell
formation energy from the elements = 181 meV per atom

POSCAR file:
```
Er7Tm2Th2
1.0
1.639 -5.434 2.121
5.352 -2.814 -5.082
5.566 1.356 5.437
Er Th Tm
7 2 2
direct
0.826 0.937 0.412
0.580 0.765 0.765
0.174 0.588 0.063
0.174 0.063 0.588
0.000 0.000 0.000
0.826 0.412 0.937
0.420 0.235 0.235
0.806 0.418 0.418
0.194 0.582 0.582
0.500 0.216 0.784
0.500 0.784 0.216
```